# La2EuTh | Alexandria via LeMat-Bulk | PBE-GGA | relaxed
# Excess energy over the best structure of this formula in the dataset in meV per atom: 0
# Electronic total energy in eV per cell: -27.440
# E_form in meV per atom: 27
data_La2EuTh
_chemical_formula_sum 'La2 Eu1 Th1'
_cell_length_a 3.6797
_cell_length_b 3.6797
_cell_length_c 10.8426
_cell_angle_alpha 90.00
_cell_angle_beta 90.00
_cell_angle_gamma 90.00
_symmetry_space_group_name_H-M 'P 4/m m m'
_symmetry_Int_Tables_number 123
_symmetry_space_group_name_Hall '-P 4 2'
loop_
_atom_site_label
_atom_site_type_symbol
_atom_site_fract_x
_atom_site_fract_y
_atom_site_fract_z
La1 La 0.0000 0.0000 0.2242
Eu1 Eu 0.5000 0.5000 0.5000
Th1 Th 0.5000 0.5000 0.0000